Record 1
Here is an optimized crystal structure of Rb3Er3USe8 from the Alexandria database. Energies are from PBE.

Output
DOS(E_F): 6.21 states/eV/cell
Energy relative to the elements, uncorrected: -1.624 eV per atom
Total magnetization: 2.0 μB per cell

Geometry as extended XYZ:
```
15
Lattice="-4.9289 4.9383 -4.5719 -3.2415 -4.5345 6.2067 5.1452 7.5057 2.5603" Properties=species:S:1:pos:R:3 pbc="T T T"
Er 0.1081 6.2220 -1.0058
Er -1.5126 3.9547 2.0975
Er 0.9518 1.4856 4.3835
Se 0.1402 3.4724 -0.1955
Se -2.3307 5.9480 -2.4874
Se -3.1655 4.4371 4.3906
Se 0.9302 4.2347 3.5713
Se -0.6946 1.9615 6.6825
Se -3.9554 3.6748 0.6238
Se -1.5363 6.7140 1.2985
Se -1.4889 1.1955 2.8966
Rb 0.0000 0.0000 0.0000
Rb -1.6207 -2.2672 3.1033
Rb -4.0852 0.2019 0.8174
U 2.5726 3.7528 1.2801
```

***

Record 2
Here is an optimized crystal structure of Rb3ErU2Se6 from the Alexandria database. Energies are from PBE.

Output
DOS(E_F): 9.07 states/eV/cell
Energy relative to the elements, uncorrected: -1.368 eV per atom
Total magnetization: 6.0 μB per cell

Geometry as extended XYZ:
```
12
Lattice="-3.3332 6.3827 -1.4439 -1.4981 -3.5996 6.2236 7.5542 3.0154 2.1178" Properties=species:S:1:pos:R:3 pbc="T T T"
Se 2.0457 6.2078 4.1157
Se 4.7905 3.1551 2.9611
Se -2.0676 2.6435 3.9363
Se 2.6504 2.9187 6.6421
Se 0.6771 -0.4092 2.7818
Se 0.0725 2.8799 0.2553
Rb 1.3614 2.8993 3.4487
Rb 0.7506 6.2221 0.8964
Rb 1.9723 -0.4235 6.0010
Er 0.0000 0.0000 0.0000
U -2.1099 -0.2717 3.6674
U -2.7214 3.0548 1.1123
```

***

Record 3
Here is an optimized crystal structure of Rb4ErU3Se8 from the Alexandria database. Energies are from PBE.

Output
DOS(E_F): 17.64 states/eV/cell
Energy relative to the elements, uncorrected: -1.326 eV per atom
Total magnetization: 9.0 μB per cell

Geometry as extended XYZ:
```
16
Lattice="8.4809 0.0000 0.0000 0.0000 9.4018 0.6440 -4.2405 -4.2361 5.9998" Properties=species:S:1:pos:R:3 pbc="T T T"
U 2.1202 2.5828 3.3219
U 4.2405 4.7009 0.3220
U -2.1202 2.5828 3.3219
Rb 2.1202 -2.1181 2.9999
Rb -2.1202 -2.1181 2.9999
Rb 0.0000 0.0000 0.0000
Rb 4.2405 0.0000 0.0000
Se 4.2405 0.5617 3.4322
Se 0.0000 4.6039 3.2116
Se 6.3883 2.7073 0.3933
Se 0.0000 0.5691 3.3983
Se 2.0926 2.7073 0.3933
Se -2.1478 2.4584 6.2505
Se 2.1478 2.4584 6.2505
Se 4.2405 4.5966 3.2455
Er 0.0000 4.7009 0.3220
```

***

Record 4
Here is an optimized crystal structure of Rb3Er3VSe8 from the Alexandria database. Energies are from PBE.

Output
DOS(E_F): 6.58 states/eV/cell
Energy relative to the elements, uncorrected: -1.454 eV per atom
Total magnetization: 1.0 μB per cell

Geometry as extended XYZ:
```
15
Lattice="-3.4382 -5.9827 4.2545 7.7858 1.8907 1.2285 -6.2622 6.1106 3.5313" Properties=species:S:1:pos:R:3 pbc="T T T"
Se -4.4458 -2.6957 4.5090
Se 0.6748 1.4843 6.8024
Se 2.5312 4.7143 4.5054
Se -3.2617 0.7492 6.1407
Se 1.3471 1.2694 2.8737
Se -1.6723 3.6936 3.8424
Se -0.2423 -1.6750 5.1720
Se -2.5894 0.5343 2.2121
Er 0.7618 4.0007 2.3799
Er -0.9573 1.0093 4.5072
Er -4.8502 0.0639 3.8929
Rb 2.1738 -2.0460 2.7415
Rb 0.0000 0.0000 0.0000
Rb 3.8929 0.9453 0.6143
V -3.1311 3.0553 1.7657
```

***

Record 5
Here is an optimized crystal structure of Rb4YEr3Se8 from the Alexandria database. Energies are from PBE.

Output
DOS(E_F): 0.00 states/eV/cell
Energy relative to the elements, uncorrected: -1.736 eV per atom
Total magnetization: 0.0 μB per cell

Geometry as extended XYZ:
```
16
Lattice="8.4353 0.0000 0.0000 0.0000 9.3386 0.6270 -4.2177 -4.2162 5.9677" Properties=species:S:1:pos:R:3 pbc="T T T"
Se 6.3129 2.6921 0.4165
Se 2.0953 2.4304 6.1783
Se 0.0000 4.5248 3.2135
Se 0.0000 0.5944 3.3982
Se 4.2177 4.5281 3.1966
Se 2.1224 2.6921 0.4165
Se 4.2177 0.5976 3.3812
Se -2.0953 2.4304 6.1783
Rb -2.1088 -2.1081 2.9839
Rb 4.2177 0.0000 0.0000
Rb 0.0000 0.0000 0.0000
Rb 2.1088 -2.1081 2.9839
Er 4.2177 4.6693 0.3135
Er 2.1088 2.5612 3.2974
Er -2.1088 2.5612 3.2974
Y 0.0000 4.6693 0.3135
```

***

Record 6
Here is an optimized crystal structure of Rb4Y3ErSe8 from the Alexandria database. Energies are from PBE.

Output
DOS(E_F): 0.00 states/eV/cell
Energy relative to the elements, uncorrected: -1.744 eV per atom
Total magnetization: 0.0 μB per cell

Geometry as extended XYZ:
```
16
Lattice="8.4712 0.0000 0.0000 0.0000 9.3539 0.6124 -4.2356 -4.2328 5.9936" Properties=species:S:1:pos:R:3 pbc="T T T"
Se 2.1315 2.4185 6.2082
Se 0.0000 4.5488 3.1920
Se 2.1041 2.7026 0.3977
Se 0.0000 0.5754 3.3966
Se 6.3671 2.7026 0.3977
Se 4.2356 0.5723 3.4140
Se -2.1315 2.4185 6.2082
Se 4.2356 4.5456 3.2094
Er 0.0000 4.6770 0.3062
Rb 0.0000 0.0000 0.0000
Rb 4.2356 0.0000 0.0000
Rb 2.1178 -2.1164 2.9968
Rb -2.1178 -2.1164 2.9968
Y -2.1178 2.5605 3.3030
Y 4.2356 4.6770 0.3062
Y 2.1178 2.5605 3.3030
```